# PBE-GGA V2GaTe6, optimized geometry
data_V2GaTe6
_cell_length_a 6.421
_cell_length_b 6.421
_cell_length_c 12.389
_cell_angle_alpha 90.00
_cell_angle_beta 90.00
_cell_angle_gamma 90.00
_symmetry_space_group_name_H-M 'P 42/m n m'
_symmetry_Int_Tables_number 136
_symmetry_space_group_name_Hall '-P 4n 2n'
loop_
_atom_site_label
_atom_site_fract_x
_atom_site_fract_y
_atom_site_fract_z
V1 0.000 0.000 0.169
Ga1 0.000 0.000 0.500
Te1 0.187 0.187 0.000
Te2 0.201 0.201 0.325
# total DFT energy (no corrections): -82.25 eV per cell
# formation energy from raw total energies: -112 meV/atom
# spin magnetization: 0.2171 μB per atom